# Tb3Ho3Ni4

A geometry-optimized Tb3Ho3Ni4 structure (PBE, the Alexandria database).

The value obtained for the magnetization is 0.0 μB per formula unit. The value obtained for the energy relative to the elements is -3.28 eV per formula unit. The total energy is -108.1 eV for the cell shown.

The structure belongs to space group Amm2 (No. 38); the cell edges are 3.8604, 10.6454 and 10.6178 Å and the angles 90.00°, 90.00° and 90.00°. Symmetry generates all atoms from Tb at (0.0000, 0.0000, 0.0000), Tb at (0.0000, 0.1656, 0.3351), Ho at (0.0000, 0.0000, 0.6690), Ho at (0.5000, 0.2493, 0.5852), Ni at (0.5000, 0.0000, 0.2120), Ni at (0.5000, 0.0000, 0.4597) and Ni at (0.5000, 0.1226, 0.8337).

---

# AlIn2Fe

A geometry-optimized AlIn2Fe structure (PBE, the Alexandria database).

The value obtained for the magnetization is 2.1 μB per formula unit. The value obtained for the energy relative to the elements is 1.20 eV per formula unit. The total energy is -16.5 eV for the cell shown.

The structure belongs to space group Pmmm (No. 47); the cell edges are 3.3114, 3.9383 and 5.7390 Å and the angles 90.00°, 90.00° and 90.00°. Symmetry generates all atoms from Al at (0.0000, 0.0000, 0.0000), In at (0.5000, 0.5000, 0.2582) and Fe at (0.0000, 0.0000, 0.5000).

---

> The lowest energy relative to the elements belongs to which entry?

Tb3Ho3Ni4